## w
Pm2PrPa | PBE-GGA | relaxed

DOS(E_F): 16.5 states/eV/cell
magnetization: 0.00 μB/cell
calculated volume: 31.494 Å³/atom

a = 3.3977 Å, b = 3.3977 Å, c = 37.8002 Å
α = 90.00°, β = 90.00°, γ = 120.00°
Space group R-3m (No. 166, hexagonal axes)
Symmetry-distinct sites (fractional):
1 Pm 0.0000 0.0000 0.0853 (multiplicity 6)
2 Pr 0.0000 0.0000 0.5000 (multiplicity 3)
3 Pa 0.0000 0.0000 0.0000 (multiplicity 3)

=====

## x
Pm2PrPa | PBE-GGA | relaxed

DOS(E_F): 5.6 states/eV/cell
magnetization: 0.00 μB/cell
calculated volume: 31.821 Å³/atom

a = 3.462 Å, b = 3.462 Å, c = 10.618 Å
α = 90.00°, β = 90.00°, γ = 90.00°
Space group P4/mmm (No. 123)
Symmetry-distinct sites (fractional):
1 Pm 0.000 0.000 0.225 (multiplicity 2)
2 Pr 0.500 0.500 0.500 (multiplicity 1)
3 Pa 0.500 0.500 0.000 (multiplicity 1)

=====

Which of them is the most stable, and which is the least stable? x and w, in that order.

=====

## w
PmPr2Pa | PBE-GGA | relaxed

DOS(E_F): 16.8 states/eV/cell
magnetization: 0.00 μB/cell
calculated volume: 31.930 Å³/atom

a = 3.4122 Å, b = 3.4122 Å, c = 37.9985 Å
α = 90.00°, β = 90.00°, γ = 120.00°
Space group R-3m (No. 166, hexagonal axes)
Symmetry-distinct sites (fractional):
1 Pm 0.0000 0.0000 0.0000 (multiplicity 3)
2 Pr 0.0000 0.0000 0.4147 (multiplicity 6)
3 Pa 0.0000 0.0000 0.5000 (multiplicity 3)

=====

## x
PmPr2Pa | PBE-GGA | relaxed

DOS(E_F): 6.1 states/eV/cell
magnetization: 0.00 μB/cell
calculated volume: 32.291 Å³/atom

a = 3.478 Å, b = 3.478 Å, c = 10.678 Å
α = 90.00°, β = 90.00°, γ = 90.00°
Space group P4/mmm (No. 123)
Symmetry-distinct sites (fractional):
1 Pm 0.000 0.000 0.000 (multiplicity 1)
2 Pr 0.500 0.500 0.272 (multiplicity 2)
3 Pa 0.000 0.000 0.500 (multiplicity 1)

=====

Which of them is the most stable, and which is the least stable? x and w, in that order.

=====

## w
PmPaPt2 | PBE-GGA | relaxed

DOS(E_F): 8.6 states/eV/cell
magnetization: 0.00 μB/cell
calculated volume: 23.245 Å³/atom

a = 5.898 Å, b = 4.366 Å, c = 7.696 Å
α = 90.00°, β = 110.22°, γ = 90.00°
Space group P2_1/m (No. 11)
Symmetry-distinct sites (fractional):
1 Pm 0.216 0.250 0.180 (multiplicity 2)
2 Pa 0.234 0.250 0.683 (multiplicity 2)
3 Pt 0.299 0.750 0.463 (multiplicity 2)
4 Pt 0.321 0.750 0.943 (multiplicity 2)

=====

## x
PmPaPt2 | PBE-GGA | relaxed

DOS(E_F): 16.2 states/eV/cell
magnetization: 0.01 μB/cell
calculated volume: 23.592 Å³/atom

a = 4.7752 Å, b = 4.7752 Å, c = 14.3358 Å
α = 90.00°, β = 90.00°, γ = 120.00°
Space group R-3m (No. 166, hexagonal axes)
Symmetry-distinct sites (fractional):
1 Pm 0.0000 0.0000 0.0000 (multiplicity 3)
2 Pa 0.0000 0.0000 0.5000 (multiplicity 3)
3 Pt 0.0000 0.0000 0.2211 (multiplicity 6)

=====

## y
PmPaPt2 | PBE-GGA | relaxed

DOS(E_F): 10.5 states/eV/cell
magnetization: 0.00 μB/cell
calculated volume: 24.955 Å³/atom

a = 4.0085 Å, b = 4.0085 Å, c = 21.5198 Å
α = 90.00°, β = 90.00°, γ = 120.00°
Space group R3m (No. 160, hexagonal axes)
Symmetry-distinct sites (fractional):
1 Pm 0.0000 0.0000 0.0000 (multiplicity 3)
2 Pa 0.0000 0.0000 0.8286 (multiplicity 3)
3 Pt 0.0000 0.0000 0.2396 (multiplicity 3)
4 Pt 0.0000 0.0000 0.4201 (multiplicity 3)

=====

Which of them is the most stable, and which is the least stable? w and x, in that order.

=====

## w
PmPaPt | PBE-GGA | relaxed

DOS(E_F): 31.2 states/eV/cell
magnetization: 4.32 μB/cell
calculated volume: 27.817 Å³/atom

a = 6.937 Å, b = 6.937 Å, c = 6.937 Å
α = 90.00°, β = 90.00°, γ = 90.00°
Space group F-43m (No. 216)
Symmetry-distinct sites (fractional):
1 Pm 0.000 0.000 0.000 (multiplicity 4)
2 Pa 0.000 0.000 0.500 (multiplicity 4)
3 Pt 0.250 0.250 0.250 (multiplicity 4)

=====

## x
PmPaPt | PBE-GGA | relaxed

DOS(E_F): 18.6 states/eV/cell
magnetization: 0.00 μB/cell
calculated volume: 25.968 Å³/atom

a = 5.907 Å, b = 3.865 Å, c = 13.650 Å
α = 90.00°, β = 90.00°, γ = 90.00°
Space group Pnma (No. 62)
Symmetry-distinct sites (fractional):
1 Pm 0.142 0.250 0.104 (multiplicity 4)
2 Pa 0.145 0.750 0.314 (multiplicity 4)
3 Pt 0.154 0.250 0.458 (multiplicity 4)

=====

## y
PmPaPt | PBE-GGA | relaxed

DOS(E_F): 4.6 states/eV/cell
magnetization: 0.00 μB/cell
calculated volume: 27.309 Å³/atom

a = 4.6723 Å, b = 4.6723 Å, c = 4.3335 Å
α = 90.00°, β = 90.00°, γ = 120.00°
Space group P-6m2 (No. 187)
Symmetry-distinct sites (fractional):
1 Pm 0.0000 0.0000 0.0000 (multiplicity 1)
2 Pa 0.6667 0.3333 0.5000 (multiplicity 1)
3 Pt 0.3333 0.6667 0.5000 (multiplicity 1)

=====

Which of them is the most stable, and which is the least stable? x and y, in that order.

=====

## w
Pm2PaPt3 | PBE-GGA | relaxed

DOS(E_F): 57.4 states/eV/cell
magnetization: 0.00 μB/cell
calculated volume: 25.083 Å³/atom

a = 8.320 Å, b = 11.709 Å, c = 24.718 Å
α = 90.00°, β = 90.00°, γ = 90.00°
Space group Fddd (No. 70, origin choice 2)
Symmetry-distinct sites (fractional):
1 Pm 0.125 0.125 0.043 (multiplicity 16)
2 Pm 0.125 0.125 0.375 (multiplicity 16)
3 Pa 0.125 0.125 0.541 (multiplicity 16)
4 Pt 0.107 0.375 0.875 (multiplicity 16)
5 Pt 0.118 0.367 0.712 (multiplicity 32)

=====

## x
Pm2PaPt3 | PBE-GGA | relaxed

DOS(E_F): 7.0 states/eV/cell
magnetization: 0.00 μB/cell
calculated volume: 25.066 Å³/atom

a = 4.089 Å, b = 5.864 Å, c = 12.545 Å
α = 90.00°, β = 90.00°, γ = 90.00°
Space group Immm (No. 71)
Symmetry-distinct sites (fractional):
1 Pm 0.000 0.000 0.167 (multiplicity 4)
2 Pa 0.000 0.000 0.500 (multiplicity 2)
3 Pt 0.000 0.500 0.154 (multiplicity 4)
4 Pt 0.000 0.500 0.500 (multiplicity 2)

=====

Which of them is the most stable, and which is the least stable? w and x, in that order.

=====

## w
Pm2PaRh | PBE-GGA | relaxed

DOS(E_F): 6.2 states/eV/cell
magnetization: 0.00 μB/cell
calculated volume: 25.182 Å³/atom

a = 3.491 Å, b = 3.491 Å, c = 8.264 Å
α = 90.00°, β = 90.00°, γ = 90.00°
Space group P4/mmm (No. 123)
Symmetry-distinct sites (fractional):
1 Pm 0.000 0.000 0.211 (multiplicity 2)
2 Pa 0.500 0.500 0.500 (multiplicity 1)
3 Rh 0.500 0.500 0.000 (multiplicity 1)

=====

## x
Pm2PaRh | PBE-GGA | relaxed

DOS(E_F): 14.4 states/eV/cell
magnetization: 0.00 μB/cell
calculated volume: 26.193 Å³/atom

a = 3.3576 Å, b = 3.3576 Å, c = 32.1954 Å
α = 90.00°, β = 90.00°, γ = 120.00°
Space group R-3m (No. 166, hexagonal axes)
Symmetry-distinct sites (fractional):
1 Pm 0.0000 0.0000 0.1013 (multiplicity 6)
2 Pa 0.0000 0.0000 0.0000 (multiplicity 3)
3 Rh 0.0000 0.0000 0.5000 (multiplicity 3)

=====

Which of them is the most stable, and which is the least stable? w and x, in that order.

=====

## w
PmPaRh2 | PBE-GGA | relaxed

DOS(E_F): 3.6 states/eV/cell
magnetization: 0.00 μB/cell
calculated volume: 21.605 Å³/atom

a = 3.482 Å, b = 3.482 Å, c = 7.127 Å
α = 90.00°, β = 90.00°, γ = 90.00°
Space group P4/mmm (No. 123)
Symmetry-distinct sites (fractional):
1 Pm 0.000 0.000 0.000 (multiplicity 1)
2 Pa 0.000 0.000 0.500 (multiplicity 1)
3 Rh 0.500 0.500 0.292 (multiplicity 2)

=====

## x
PmPaRh2 | PBE-GGA | relaxed

DOS(E_F): 25.5 states/eV/cell
magnetization: 1.27 μB/cell
calculated volume: 21.006 Å³/atom

a = 6.953 Å, b = 6.953 Å, c = 6.953 Å
α = 90.00°, β = 90.00°, γ = 90.00°
Space group Fm-3m (No. 225)
Symmetry-distinct sites (fractional):
1 Pm 0.000 0.000 0.000 (multiplicity 4)
2 Pa 0.000 0.000 0.500 (multiplicity 4)
3 Rh 0.250 0.250 0.250 (multiplicity 8)

=====

Which of them is the most stable, and which is the least stable? w and x, in that order.

=====

## w
PmPaRh2 | PBE-GGA | relaxed

DOS(E_F): 5.8 states/eV/cell
magnetization: 0.00 μB/cell
calculated volume: 23.270 Å³/atom

a = 3.8589 Å, b = 3.8589 Å, c = 21.6535 Å
α = 90.00°, β = 90.00°, γ = 120.00°
Space group R3m (No. 160, hexagonal axes)
Symmetry-distinct sites (fractional):
1 Pm 0.0000 0.0000 0.0000 (multiplicity 3)
2 Pa 0.0000 0.0000 0.8290 (multiplicity 3)
3 Rh 0.0000 0.0000 0.2373 (multiplicity 3)
4 Rh 0.0000 0.0000 0.4228 (multiplicity 3)

=====

## x
PmPaRh2 | PBE-GGA | relaxed

DOS(E_F): 6.1 states/eV/cell
magnetization: 0.00 μB/cell
calculated volume: 22.253 Å³/atom

a = 5.978 Å, b = 4.079 Å, c = 7.741 Å
α = 90.00°, β = 109.41°, γ = 90.00°
Space group P2_1/m (No. 11)
Symmetry-distinct sites (fractional):
1 Pm 0.227 0.250 0.436 (multiplicity 2)
2 Pa 0.221 0.250 0.931 (multiplicity 2)
3 Rh 0.291 0.750 0.174 (multiplicity 2)
4 Rh 0.322 0.750 0.740 (multiplicity 2)

=====

Which of them is the most stable, and which is the least stable? x and w, in that order.

=====

## w
PmPaRh3 | PBE-GGA | relaxed

DOS(E_F): 6.9 states/eV/cell
magnetization: 0.00 μB/cell
calculated volume: 21.349 Å³/atom

a = 5.528 Å, b = 4.215 Å, c = 9.164 Å
α = 90.00°, β = 90.00°, γ = 90.00°
Space group Pmma (No. 51)
Symmetry-distinct sites (fractional):
1 Pm 0.250 0.000 0.152 (multiplicity 2)
2 Pa 0.250 0.500 0.666 (multiplicity 2)
3 Rh 0.000 0.000 0.500 (multiplicity 2)
4 Rh 0.250 0.500 0.375 (multiplicity 2)
5 Rh 0.250 0.500 0.929 (multiplicity 2)

=====

## x
PmPaRh3 | PBE-GGA | relaxed

DOS(E_F): 9.8 states/eV/cell
magnetization: 0.00 μB/cell
calculated volume: 23.287 Å³/atom

a = 10.164 Å, b = 5.868 Å, c = 8.515 Å
α = 90.00°, β = 113.50°, γ = 90.00°
Space group Cm (No. 8)
Symmetry-distinct sites (fractional):
1 Pm 0.000 0.000 0.000 (multiplicity 2)
2 Pm 0.241 0.000 0.724 (multiplicity 2)
3 Pa 0.128 0.500 0.884 (multiplicity 2)
4 Pa 0.291 0.500 0.373 (multiplicity 2)
5 Rh 0.029 0.500 0.124 (multiplicity 2)
6 Rh 0.214 0.500 0.637 (multiplicity 2)
7 Rh 0.298 0.231 0.124 (multiplicity 4)
8 Rh 0.461 0.253 0.637 (multiplicity 4)

=====

Which of them is the most stable, and which is the least stable? w and x, in that order.

=====

## w
Pm2PaRu2 | PBE-GGA | relaxed

DOS(E_F): 13.5 states/eV/cell
magnetization: 0.00 μB/cell
calculated volume: 24.746 Å³/atom

a = 10.457 Å, b = 6.733 Å, c = 7.115 Å
α = 90.00°, β = 98.87°, γ = 90.00°
Space group P2_1/c (No. 14)
Symmetry-distinct sites (fractional):
1 Pm 0.024 0.245 0.436 (multiplicity 4)
2 Pm 0.278 0.650 0.872 (multiplicity 4)
3 Pa 0.371 0.173 0.001 (multiplicity 4)
4 Ru 0.207 0.060 0.731 (multiplicity 4)
5 Ru 0.486 0.562 0.220 (multiplicity 4)

=====

## x
Pm2PaRu2 | PBE-GGA | relaxed

DOS(E_F): 22.6 states/eV/cell
magnetization: 0.00 μB/cell
calculated volume: 24.263 Å³/atom

a = 10.230 Å, b = 6.065 Å, c = 7.948 Å
α = 90.00°, β = 100.24°, γ = 90.00°
Space group C2/c (No. 15)
Symmetry-distinct sites (fractional):
1 Pm 0.151 0.118 0.151 (multiplicity 8)
2 Pa 0.000 0.380 0.750 (multiplicity 4)
3 Ru 0.127 0.377 0.514 (multiplicity 8)

=====

Which of them is the most stable, and which is the least stable? x and w, in that order.

=====

## w
Pm3Pa2Ru4 | PBE-GGA | relaxed

DOS(E_F): 12.0 states/eV/cell
magnetization: 0.00 μB/cell
calculated volume: 23.626 Å³/atom

a = 11.221 Å, b = 4.274 Å, c = 9.033 Å
α = 90.00°, β = 100.98°, γ = 90.00°
Space group C2/m (No. 12)
Symmetry-distinct sites (fractional):
1 Pm 0.000 0.000 0.000 (multiplicity 2)
2 Pm 0.123 0.500 0.386 (multiplicity 4)
3 Pa 0.177 0.500 0.781 (multiplicity 4)
4 Ru 0.091 0.000 0.640 (multiplicity 4)
5 Ru 0.218 0.500 0.094 (multiplicity 4)

=====

## x
Pm3Pa2Ru4 | PBE-GGA | relaxed

DOS(E_F): 24.7 states/eV/cell
magnetization: 0.00 μB/cell
calculated volume: 23.835 Å³/atom

a = 14.507 Å, b = 9.736 Å, c = 6.080 Å
α = 90.00°, β = 92.15°, γ = 90.00°
Space group C2/c (No. 15)
Symmetry-distinct sites (fractional):
1 Pm 0.000 0.092 0.250 (multiplicity 4)
2 Pm 0.092 0.380 0.973 (multiplicity 8)
3 Pa 0.207 0.105 0.639 (multiplicity 8)
4 Ru 0.117 0.305 0.490 (multiplicity 8)
5 Ru 0.210 0.139 0.152 (multiplicity 8)

=====

Which of them is the most stable, and which is the least stable? w and x, in that order.